Computed, not measured: a relaxed structure of Cs2KCd at the PBE level of DFT.

E_tot ... -3.52 eV per cell
Energy above the most stable polymorph in this dataset ... 0.063 eV per atom

Structure (extended XYZ):
```
4
Lattice="-4.3157 -0.5165 5.8917 -5.4730 -4.8619 0.1139 0.4182 -5.8818 4.3398" Properties=species:S:1:pos:R:3 pbc="T T T"
Cs -7.0279 -8.4452 7.7591
Cs -2.3426 -2.8151 2.5864
K 0.0000 0.0000 0.0000
Cd -4.6852 -5.6301 5.1727
```